Crystalline Y2Zn2Cd at its relaxed geometry, computed with GGA-PBE.

Geometry as CIF:
```
data_Y2Zn2Cd
_symmetry_space_group_name_H-M 'P 1'
_symmetry_Int_Tables_number 1
_cell_length_a 5.663
_cell_length_b 5.663
_cell_length_c 5.581
_cell_angle_alpha 59.51
_cell_angle_beta 59.51
_cell_angle_gamma 90.00
loop_
_symmetry_equiv_pos_as_xyz
'x,y,z'
loop_
_atom_site_label
_atom_site_type_symbol
_atom_site_fract_x
_atom_site_fract_y
_atom_site_fract_z
_atom_site_occupancy
Y1 Y 0.750 0.250 0.500 1
Y2 Y 0.250 0.750 0.500 1
Zn1 Zn 0.351 0.351 0.298 1
Zn2 Zn 0.649 0.649 0.702 1
Cd1 Cd 0.000 0.000 0.000 1
```

## Properties
As for the mass density: 5.61 g cm⁻³. As for the total magnetization: 0.00 μB/atom. The calculation puts the total energy at -16.69 eV/cell. As for the crystal system: tetragonal.